The following is a DFT calculation (PBE) of crystalline BaCaSb2I at its relaxed geometry.

abc: 6.1998 6.1998 6.4303
angles: 90.00 90.00 90.00
Space group P4/mmm (No. 123)
Inequivalent atoms, fractional coordinates:
Ba: 0.0000 0.0000 0.0000 x1
Ca: 0.5000 0.5000 0.5000 x1
Sb: 0.0000 0.5000 0.0000 x2
I: 0.0000 0.0000 0.5000 x1

Volume: 247.16 Å³ per cell
N(E_F): 6.3 states/eV/f.u.
Electronic total energy: -13.6 eV for the cell shown
E above lowest polymorph: 0.568 eV/atom


The following is a DFT calculation (PBE) of crystalline BaCaSb2I at its relaxed geometry.

abc: 5.8186 5.8186 6.0809
angles: 90.00 90.00 90.00
Space group P4/mmm (No. 123)
Inequivalent atoms, fractional coordinates:
Ba: 0.0000 0.0000 0.0000 x1
Ca: 0.5000 0.5000 0.5000 x1
Sb: 0.0000 0.5000 0.5000 x2
I: 0.5000 0.5000 0.0000 x1

Volume: 205.88 Å³ per cell
N(E_F): 7.8 states/eV/f.u.
Electronic total energy: -16.4 eV for the cell shown
E above lowest polymorph: 0.000 eV/atom


Q: The lowest electronic total energy belongs to which entry?
A: number 2